Here is a relaxed structure of Tb3In3CoHg2 from Alexandria. Energies are from PBE.

Results
magnetization	0.0	μB per cell
crystal system	hexagonal
E_form	-3.84	eV/f.u.

Cell lengths 4.101, 7.704, 7.704 Å; angles 120.00, 90.00, 90.00 degrees
Sites, in units of the cell vectors:
1 Co 0.000 0.000 0.000
2 Tb 0.000 0.000 0.388
3 Tb 0.000 0.388 0.000
4 Tb 0.000 0.612 0.612
5 In 0.500 0.762 0.000
6 In 0.500 0.000 0.762
7 In 0.500 0.238 0.238
8 Hg 0.500 0.667 0.333
9 Hg 0.500 0.333 0.667